# 1
CuSbP | SCAN | PBEsol geometry

final energy	-20.29	eV per atom

```
data_CuSbP
_cell_length_a 4.7229
_cell_length_b 4.7229
_cell_length_c 5.3743
_cell_angle_alpha 90.00
_cell_angle_beta 90.00
_cell_angle_gamma 120.00
_symmetry_space_group_name_H-M 'P 63/m m c'
_symmetry_Int_Tables_number 194
_symmetry_space_group_name_Hall '-P 6c 2c'
loop_
_atom_site_label
_atom_site_fract_x
_atom_site_fract_y
_atom_site_fract_z
Cu1 0.3333 0.6667 0.2500
Sb1 0.3333 0.6667 0.7500
P1 0.0000 0.0000 0.0000
```

=====

# 2
La3Sc2 | SCAN | PBEsol geometry

final energy	-31.48	eV per atom

```
data_La3Sc2
_cell_length_a 3.4798
_cell_length_b 3.4798
_cell_length_c 41.8492
_cell_angle_alpha 90.00
_cell_angle_beta 90.00
_cell_angle_gamma 120.00
_symmetry_space_group_name_H-M 'R -3 m'
_symmetry_Int_Tables_number 166
_symmetry_space_group_name_Hall '-R 3 2"'
loop_
_atom_site_label
_atom_site_fract_x
_atom_site_fract_y
_atom_site_fract_z
La1 0.0000 0.0000 0.0000
La2 0.0000 0.0000 0.2032
Sc1 0.0000 0.0000 0.3980
```

=====

# 3
HfTlNiAu2 | SCAN | PBEsol geometry

final energy	-57.71	eV per atom

```
data_HfTlNiAu2
_cell_length_a 4.7961
_cell_length_b 4.7961
_cell_length_c 4.4525
_cell_angle_alpha 90.00
_cell_angle_beta 90.00
_cell_angle_gamma 90.00
_symmetry_space_group_name_H-M 'P 4/m m m'
_symmetry_Int_Tables_number 123
_symmetry_space_group_name_Hall '-P 4 2'
loop_
_atom_site_label
_atom_site_fract_x
_atom_site_fract_y
_atom_site_fract_z
Hf1 0.0000 0.0000 0.0000
Tl1 0.5000 0.5000 0.0000
Ni1 0.0000 0.0000 0.5000
Au1 0.0000 0.5000 0.5000
```

=====

# 4
KReHg2 | SCAN | PBEsol geometry

final energy	-52.83	eV per atom
relative energy among the computed polymorphs	421	meV per atom

```
data_KReHg2
_cell_length_a 4.1812
_cell_length_b 4.1812
_cell_length_c 9.8768
_cell_angle_alpha 90.00
_cell_angle_beta 90.00
_cell_angle_gamma 90.00
_symmetry_space_group_name_H-M 'I -4 m 2'
_symmetry_Int_Tables_number 119
_symmetry_space_group_name_Hall 'I -4 -2'
loop_
_atom_site_label
_atom_site_fract_x
_atom_site_fract_y
_atom_site_fract_z
K1 0.0000 0.0000 0.0000
Re1 0.0000 0.5000 0.2500
Hg1 0.0000 0.0000 0.5000
Hg2 0.0000 0.5000 0.7500
```